[1]
The following is a meta-GGA SCAN calculation of a PBEsol-optimized structure of Sc3Ru, from the Alexandria database. Values from VASP.

D(E_F), states/eV/cell: 3.2
Uncorrected energy, eV per atom: -19.560
Theoretical density, kg/m³: 5248

Cell and atoms, written as Quantum ESPRESSO input:
```
&SYSTEM
  ibrav = 0, nat = 4, ntyp = 2
/
ATOMIC_SPECIES
Sc 44.96 Sc.upf
Ru 101.07 Ru.upf
ATOMIC_POSITIONS angstrom
Sc 0.000 2.296 2.296
Sc 1.770 2.296 0.000
Ru 0.000 0.000 0.000
Sc 1.770 0.000 2.296
CELL_PARAMETERS angstrom
3.539 0.000 0.000
0.000 4.593 0.000
0.000 0.000 4.593
```



[2]
The following is a meta-GGA SCAN calculation of a PBEsol-optimized structure of ScRu, from the Alexandria database. Values from VASP.

D(E_F), states/eV/cell: 1.9
Uncorrected energy, eV per atom: -25.059
Theoretical density, kg/m³: 7522

Cell and atoms, written as Quantum ESPRESSO input:
```
&SYSTEM
  ibrav = 0, nat = 4, ntyp = 2
/
ATOMIC_SPECIES
Sc 44.96 Sc.upf
Ru 101.07 Ru.upf
ATOMIC_POSITIONS angstrom
Sc -1.378 0.959 1.415
Ru 0.596 1.222 3.218
Sc 0.007 3.616 1.167
Ru -1.967 3.353 -0.637
CELL_PARAMETERS angstrom
-3.075 -0.203 0.646
0.896 -0.071 4.241
0.808 4.849 -2.306
```



[3]
The following is a meta-GGA SCAN calculation of a PBEsol-optimized structure of Sc3Ru, from the Alexandria database. Values from VASP.

D(E_F), states/eV/cell: 11.1
Uncorrected energy, eV per atom: -19.831
Theoretical density, kg/m³: 4795

Cell and atoms, written as Quantum ESPRESSO input:
```
&SYSTEM
  ibrav = 0, nat = 16, ntyp = 2
/
ATOMIC_SPECIES
Ru 101.07 Ru.upf
Sc 44.96 Sc.upf
ATOMIC_POSITIONS angstrom
Ru 2.694 6.012 2.079
Sc 3.862 5.565 4.659
Ru 3.100 0.771 6.236
Sc 4.830 2.173 7.814
Sc 3.570 3.642 2.079
Ru 5.592 4.163 6.236
Sc 0.965 4.610 0.501
Sc 0.673 6.533 6.236
Sc 5.122 0.250 2.079
Sc 4.830 2.173 4.659
Sc 3.862 5.565 7.814
Sc 2.224 3.141 6.236
Sc 1.932 1.218 0.501
Sc 1.932 1.218 3.656
Sc 0.965 4.610 3.656
Ru 0.203 2.620 2.079
CELL_PARAMETERS angstrom
5.795 0.000 0.000
0.000 6.783 0.000
0.000 0.000 8.315
```



[4]
The following is a meta-GGA SCAN calculation of a PBEsol-optimized structure of Sc3Ru, from the Alexandria database. Values from VASP.

D(E_F), states/eV/cell: 3.4
Uncorrected energy, eV per atom: -19.792
Theoretical density, kg/m³: 5025

Cell and atoms, written as Quantum ESPRESSO input:
```
&SYSTEM
  ibrav = 0, nat = 4, ntyp = 2
/
ATOMIC_SPECIES
Sc 44.96 Sc.upf
Ru 101.07 Ru.upf
ATOMIC_POSITIONS angstrom
Sc -0.625 0.212 1.505
Sc -2.027 -2.596 1.318
Ru -2.074 -0.971 -0.725
Sc 0.964 -2.634 0.771
CELL_PARAMETERS angstrom
-1.250 0.423 3.011
-4.149 -1.942 -1.450
4.335 -3.711 0.528
```



[5]
The following is a meta-GGA SCAN calculation of a PBEsol-optimized structure of Sc2RuSe, from the Alexandria database. Values from VASP.

E_form (uncorrected), kJ/mol of formula units: -105
D(E_F), states/eV/cell: 3.2
Theoretical density, kg/m³: 6715

Cell and atoms, written as Quantum ESPRESSO input:
```
&SYSTEM
  ibrav = 0, nat = 4, ntyp = 3
/
ATOMIC_SPECIES
Sc 44.96 Sc.upf
Ru 101.07 Ru.upf
Se 78.96 Se.upf
ATOMIC_POSITIONS angstrom
Sc -6.156 5.647 0.424
Sc 0.000 0.000 0.000
Ru -4.104 3.765 0.282
Se -2.052 1.882 0.141
CELL_PARAMETERS angstrom
-3.332 2.050 -2.330
-3.891 1.109 2.089
-0.986 4.372 0.806
```



[6]
The following is a meta-GGA SCAN calculation of a PBEsol-optimized structure of ScRuSe2, from the Alexandria database. Values from VASP.

E_form (uncorrected), kJ/mol of formula units: -230
D(E_F), states/eV/cell: 2.6
Theoretical density, kg/m³: 7418

Cell and atoms, written as Quantum ESPRESSO input:
```
&SYSTEM
  ibrav = 0, nat = 4, ntyp = 3
/
ATOMIC_SPECIES
Sc 44.96 Sc.upf
Se 78.96 Se.upf
Ru 101.07 Ru.upf
ATOMIC_POSITIONS angstrom
Sc -3.215 2.150 -0.668
Se -2.463 1.407 -3.236
Se -5.329 3.498 -1.863
Ru -0.681 0.302 -1.882
CELL_PARAMETERS angstrom
-1.361 0.604 -3.763
-4.627 0.096 -0.487
-1.804 4.205 -0.849
```



[7]
The following is a meta-GGA SCAN calculation of a PBEsol-optimized structure of ScRuSe2, from the Alexandria database. Values from VASP.

E_form (uncorrected), kJ/mol of formula units: -156
D(E_F), states/eV/cell: 3.8
Theoretical density, kg/m³: 7464

Cell and atoms, written as Quantum ESPRESSO input:
```
&SYSTEM
  ibrav = 0, nat = 4, ntyp = 3
/
ATOMIC_SPECIES
Se 78.96 Se.upf
Ru 101.07 Ru.upf
Sc 44.96 Sc.upf
ATOMIC_POSITIONS angstrom
Se 0.000 0.000 0.000
Ru 1.845 1.845 0.000
Sc 0.000 1.845 2.483
Se 1.845 0.000 2.483
CELL_PARAMETERS angstrom
3.690 0.000 0.000
0.000 3.690 0.000
-1.845 -1.845 4.965
```



[8]
The following is a meta-GGA SCAN calculation of a PBEsol-optimized structure of Sc2RuSe, from the Alexandria database. Values from VASP.

E_form (uncorrected), kJ/mol of formula units: -136
D(E_F), states/eV/cell: 3.3
Theoretical density, kg/m³: 5413

Cell and atoms, written as Quantum ESPRESSO input:
```
&SYSTEM
  ibrav = 0, nat = 4, ntyp = 3
/
ATOMIC_SPECIES
Se 78.96 Se.upf
Sc 44.96 Sc.upf
Ru 101.07 Ru.upf
ATOMIC_POSITIONS angstrom
Se 0.000 0.000 0.000
Sc -1.507 5.894 2.198
Ru -3.357 4.050 2.461
Sc -5.206 2.207 2.725
CELL_PARAMETERS angstrom
-3.266 0.253 -0.434
-2.050 -0.543 2.534
-1.397 8.390 2.823
```



[9]
The following is a meta-GGA SCAN calculation of a PBEsol-optimized structure of ScTe2RuSe, from the Alexandria database. Values from VASP.

E_form (uncorrected), kJ/mol of formula units: -3
D(E_F), states/eV/cell: 2.4
Theoretical density, kg/m³: 6241

Cell and atoms, written as Quantum ESPRESSO input:
```
&SYSTEM
  ibrav = 0, nat = 5, ntyp = 4
/
ATOMIC_SPECIES
Se 78.96 Se.upf
Te 127.60 Te.upf
Sc 44.96 Sc.upf
Ru 101.07 Ru.upf
ATOMIC_POSITIONS angstrom
Se 2.234 0.000 0.000
Te 0.000 0.000 2.674
Te 0.000 2.674 0.000
Sc 2.234 2.674 2.674
Ru 0.000 0.000 0.000
CELL_PARAMETERS angstrom
4.468 0.000 0.000
0.000 5.348 0.000
0.000 0.000 5.348
```



[10]
The following is a meta-GGA SCAN calculation of a PBEsol-optimized structure of Sc2Si2Ru, from the Alexandria database. Values from VASP.

E_form (uncorrected), kJ/mol of formula units: -441
D(E_F), states/eV/cell: 5.1
Theoretical density, kg/m³: 5099

Cell and atoms, written as Quantum ESPRESSO input:
```
&SYSTEM
  ibrav = 0, nat = 10, ntyp = 3
/
ATOMIC_SPECIES
Si 28.09 Si.upf
Sc 44.96 Sc.upf
Ru 101.07 Ru.upf
ATOMIC_POSITIONS angstrom
Si 0.000 5.521 4.027
Si 0.000 4.027 0.845
Sc 1.986 4.285 5.263
Sc 1.986 1.102 4.285
Ru 0.000 0.000 0.000
Si 0.000 0.845 2.338
Sc 1.986 2.080 1.102
Ru 0.000 3.183 3.183
Si 0.000 2.338 5.521
Sc 1.986 5.263 2.080
CELL_PARAMETERS angstrom
3.973 0.000 0.000
0.000 6.365 0.000
0.000 0.000 6.365
```



[11]
The following is a meta-GGA SCAN calculation of a PBEsol-optimized structure of Sc2Si2Ru, from the Alexandria database. Values from VASP.

E_form (uncorrected), kJ/mol of formula units: -460
D(E_F), states/eV/cell: 4.8
Theoretical density, kg/m³: 4897

Cell and atoms, written as Quantum ESPRESSO input:
```
&SYSTEM
  ibrav = 0, nat = 10, ntyp = 3
/
ATOMIC_SPECIES
Si 28.09 Si.upf
Sc 44.96 Sc.upf
Ru 101.07 Ru.upf
ATOMIC_POSITIONS angstrom
Si 4.039 3.886 4.696
Sc 2.019 3.509 2.680
Sc 4.039 1.348 0.893
Ru 6.058 4.916 5.226
Si 4.039 4.333 1.013
Si 4.039 1.231 7.292
Sc 6.058 2.056 5.625
Ru 2.019 0.648 3.079
Sc 4.039 4.216 7.412
Si 4.039 1.679 3.609
CELL_PARAMETERS angstrom
4.039 0.000 0.000
2.019 4.996 -0.002
2.019 0.568 8.307
```



[12]
The following is a meta-GGA SCAN calculation of a PBEsol-optimized structure of ScSnRu, from the Alexandria database. Values from VASP.

D(E_F), states/eV/cell: 2.0
Uncorrected energy, eV per atom: -29.039
Theoretical density, kg/m³: 7433

Cell and atoms, written as Quantum ESPRESSO input:
```
&SYSTEM
  ibrav = 0, nat = 6, ntyp = 3
/
ATOMIC_SPECIES
Sn 118.71 Sn.upf
Sc 44.96 Sc.upf
Ru 101.07 Ru.upf
ATOMIC_POSITIONS angstrom
Sn 0.000 0.000 1.698
Sc 2.133 2.133 1.699
Ru 0.000 2.133 0.000
Sc 0.000 0.000 4.804
Sn 2.133 2.133 4.804
Ru 2.133 0.000 0.000
CELL_PARAMETERS angstrom
4.265 0.000 0.000
0.000 4.265 0.000
-2.133 -2.133 6.503
```



[13]
The following is a meta-GGA SCAN calculation of a PBEsol-optimized structure of Sr2ScRu, from the Alexandria database. Values from VASP.

D(E_F), states/eV/cell: 2.9
Uncorrected energy, eV per atom: -22.757
Theoretical density, kg/m³: 5069

Cell and atoms, written as Quantum ESPRESSO input:
```
&SYSTEM
  ibrav = 0, nat = 4, ntyp = 3
/
ATOMIC_SPECIES
Sc 44.96 Sc.upf
Sr 87.62 Sr.upf
Ru 101.07 Ru.upf
ATOMIC_POSITIONS angstrom
Sc -1.305 -3.208 2.032
Sr 0.232 -0.398 3.254
Sr 1.642 -4.340 0.696
Ru -2.380 -0.350 1.821
CELL_PARAMETERS angstrom
-0.276 0.978 3.528
-4.483 -1.678 0.114
2.150 -5.716 0.422
```



[14]
The following is a meta-GGA SCAN calculation of a PBEsol-optimized structure of Sr2ScRu, from the Alexandria database. Values from VASP.

D(E_F), states/eV/cell: 4.3
Uncorrected energy, eV per atom: -22.922
Theoretical density, kg/m³: 5428

Cell and atoms, written as Quantum ESPRESSO input:
```
&SYSTEM
  ibrav = 0, nat = 4, ntyp = 3
/
ATOMIC_SPECIES
Sr 87.62 Sr.upf
Sc 44.96 Sc.upf
Ru 101.07 Ru.upf
ATOMIC_POSITIONS angstrom
Sr 7.770 4.486 3.172
Sc 2.590 1.495 1.057
Sr 0.000 0.000 0.000
Ru 5.180 2.991 2.115
CELL_PARAMETERS angstrom
5.180 0.000 0.000
2.590 4.486 0.000
2.590 1.495 4.229
```